(1)
The following is a PBE calculation of HgTe2Au after structural relaxation, from Alexandria via LeMat-Bulk.

```
data_HgTe2Au
_chemical_formula_sum 'Hg4 Te8 Au4'
_cell_length_a 5.9163
_cell_length_b 8.4900
_cell_length_c 8.5726
_cell_angle_alpha 90.00
_cell_angle_beta 90.00
_cell_angle_gamma 90.00
_symmetry_space_group_name_H-M 'C m c m'
_symmetry_Int_Tables_number 63
_symmetry_space_group_name_Hall '-C 2c 2'
loop_
_atom_site_label
_atom_site_type_symbol
_atom_site_fract_x
_atom_site_fract_y
_atom_site_fract_z
_atom_site_occupancy
Hg1 Hg 0.0000 0.2384 0.2500 1
Te1 Te 0.0000 0.2241 0.7500 1
Te2 Te 0.0000 0.5000 0.0000 1
Au1 Au 0.0000 0.0000 0.0000 1
```

Output
The density of states at the Fermi level comes out at 0.388 states/eV/atom. As for the formation energy from raw total energies: -2.4 meV/atom.

(2)
The following is a PBE calculation of La2Al2Cl after structural relaxation, from Alexandria via LeMat-Bulk.

```
data_La2Al2Cl
_chemical_formula_sum 'La6 Al6 Cl3'
_cell_length_a 4.3653
_cell_length_b 4.3653
_cell_length_c 23.7601
_cell_angle_alpha 90.00
_cell_angle_beta 90.00
_cell_angle_gamma 120.00
_symmetry_space_group_name_H-M 'R -3 m'
_symmetry_Int_Tables_number 166
_symmetry_space_group_name_Hall '-R 3 2"'
loop_
_atom_site_label
_atom_site_type_symbol
_atom_site_fract_x
_atom_site_fract_y
_atom_site_fract_z
_atom_site_occupancy
La1 La 0.0000 0.0000 0.0898 1
Al1 Al 0.0000 0.0000 0.3267 1
Cl1 Cl 0.0000 0.0000 0.5000 1
```

Output
The density of states at the Fermi level comes out at 0.468 states/eV/atom. As for the formation energy from raw total energies: -980.5 meV/atom.

(3)
The following is a PBE calculation of KY2Cl after structural relaxation, from Alexandria via LeMat-Bulk.

```
data_KY2Cl
_chemical_formula_sum 'K2 Y4 Cl2'
_cell_length_a 6.6283
_cell_length_b 14.0107
_cell_length_c 3.6917
_cell_angle_alpha 90.00
_cell_angle_beta 123.34
_cell_angle_gamma 90.00
_symmetry_space_group_name_H-M 'C 1 2/m 1'
_symmetry_Int_Tables_number 12
loop_
_symmetry_equiv_pos_as_xyz
'x,y,z'
'-x,-y,-z'
'-x,y,-z'
'x,-y,z'
'x+1/2,y+1/2,z'
'-x+1/2,-y+1/2,-z'
'-x+1/2,y+1/2,-z'
'x+1/2,-y+1/2,z'
loop_
_atom_site_label
_atom_site_type_symbol
_atom_site_fract_x
_atom_site_fract_y
_atom_site_fract_z
_atom_site_occupancy
K1 K 0.0000 0.0000 0.0000 1
Y1 Y 0.2500 0.2500 0.0000 1
Cl1 Cl 0.0000 0.5000 0.0000 1
```

Output
The density of states at the Fermi level comes out at 0.729 states/eV/atom. As for the energy above the most stable polymorph in this dataset: 494 meV/atom. As for the formation energy from raw total energies: -152.2 meV/atom.

(4)
The following is a PBE calculation of K3PaTa2O9 after structural relaxation, from Alexandria via LeMat-Bulk.

```
data_K3PaTa2O9
_chemical_formula_sum 'K3 Pa1 Ta2 O9'
_cell_length_a 5.8591
_cell_length_b 5.8591
_cell_length_c 7.2027
_cell_angle_alpha 90.00
_cell_angle_beta 90.00
_cell_angle_gamma 120.00
_symmetry_space_group_name_H-M 'P -3 m 1'
_symmetry_Int_Tables_number 164
_symmetry_space_group_name_Hall '-P 3 2"'
loop_
_atom_site_label
_atom_site_type_symbol
_atom_site_fract_x
_atom_site_fract_y
_atom_site_fract_z
_atom_site_occupancy
K1 K 0.0000 0.0000 0.0000 1
K2 K 0.3333 0.6667 0.6697 1
Pa1 Pa 0.0000 0.0000 0.5000 1
Ta1 Ta 0.3333 0.6667 0.1562 1
O1 O 0.0000 0.5000 0.0000 1
O2 O 0.1741 0.3482 0.3213 1
```

Output
The density of states at the Fermi level comes out at 0.000 states/eV/atom. As for the formation energy from raw total energies: -2814.0 meV/atom.